VASP calculation (GGA-PBE) on an optimized crystal structure of Ba2PrI.

Cell and atoms, written as extended XYZ:
```
4
Lattice="4.105 0.000 0.000 2.053 3.555 0.000 2.053 1.185 12.886" Properties=species:S:1:pos:R:3 pbc="T T T"
Pr 0.000 0.000 0.000
I 4.105 2.370 6.443
Ba 2.053 1.185 9.103
Ba 6.158 3.555 3.783
```

Symmetry: No. 166
Energy relative to the elements, uncorrected, eV/atom: -0.2899
Excess energy over the best structure of this formula in the dataset, meV per atom: 186
Volume, Å³/atom: 47.02

***

VASP calculation (GGA-PBE) on an optimized crystal structure of Ba2PrI6.

Cell and atoms, written as extended XYZ:
```
18
Lattice="-3.867 3.919 5.274 5.921 -3.145 6.678 6.412 9.009 -1.442" Properties=species:S:1:pos:R:3 pbc="T T T"
Ba 3.472 9.242 6.461
Ba 7.886 6.145 7.792
Ba 0.579 3.639 2.718
Ba 4.994 0.541 4.049
Pr 1.027 0.387 5.976
Pr 3.206 4.505 -0.721
I 3.812 2.523 10.662
I 4.310 6.178 8.262
I 6.734 9.634 7.665
I 2.159 7.063 3.807
I 4.649 10.483 3.284
I 1.985 3.403 5.992
I 4.653 7.261 -0.153
I 4.156 3.606 2.247
I 1.731 0.150 2.844
I 6.307 2.721 6.703
I 3.816 -0.700 7.225
I 6.481 6.380 4.517
```

Symmetry: No. 14
Energy relative to the elements, uncorrected, eV/atom: -1.5634
Volume, Å³/atom: 44.67

***

VASP calculation (GGA-PBE) on an optimized crystal structure of Ba2PrI.

Cell and atoms, written as extended XYZ:
```
4
Lattice="4.086 0.000 0.000 0.000 4.086 0.000 0.000 0.000 11.008" Properties=species:S:1:pos:R:3 pbc="T T T"
Pr 2.043 2.043 0.000
I 2.043 2.043 5.504
Ba 0.000 0.000 8.019
Ba 0.000 0.000 2.989
```

Symmetry: No. 123
Energy relative to the elements, uncorrected, eV/atom: -0.4757
Excess energy over the best structure of this formula in the dataset, meV per atom: 0
Volume, Å³/atom: 45.96

***

VASP calculation (GGA-PBE) on an optimized crystal structure of RbBa2PrI8.

Cell and atoms, written as extended XYZ:
```
12
Lattice="-5.821 -3.322 4.423 5.302 -3.247 4.493 -0.092 8.527 6.287" Properties=species:S:1:pos:R:3 pbc="T T T"
Rb -0.046 4.263 3.143
Ba -0.331 3.142 9.195
Ba -0.282 -1.185 6.008
Pr 0.000 0.000 0.000
I 3.163 -1.142 5.432
I 0.037 3.831 12.663
I -3.721 -1.768 6.172
I -3.775 3.100 9.771
I -0.649 -1.873 2.540
I 3.109 3.726 9.031
I 0.352 -0.222 9.241
I -0.964 2.179 5.961
```

Symmetry: No. 2
Energy relative to the elements, uncorrected, eV/atom: -1.5810
Volume, Å³/atom: 54.38